# 1
Computed, not measured: a relaxed Ce2AlH crystal at the GGA-PBE level of DFT.

* N(E_F): 7.50 states/eV/f.u.
* crystal system: monoclinic
* energy above the most stable polymorph in this dataset: 0.000 eV/atom
* magnetization: 0.67 μB/f.u.
* calculated total energy: -39.94 eV per cell

a b c (Å): 3.3950 5.9692 8.0783
angles (deg): 97.79 90.00 106.52
Each line ends with the local moment (μB).
Sites, in units of the cell vectors:
Al  0.6575  0.3149  0.9715  0.00
Al  0.3425  0.6851  0.0285  0.00
Ce  0.0532  0.1064  0.2378  0.25
Ce  0.1664  0.3329  0.6490  0.34
Ce  0.9468  0.8936  0.7622  0.25
Ce  0.8336  0.6671  0.3510  0.34
H  0.6471  0.2941  0.4256  0.00
H  0.3529  0.7059  0.5744  0.00



# 2
Computed, not measured: a relaxed RbTl2SnI4 crystal at the GGA-PBE level of DFT.

* E_form (uncorrected): -5.21 eV/f.u.
* N(E_F): 1.70 states/eV/f.u.
* crystal system: tetragonal
* magnetization: 0.67 μB/f.u.
* calculated total energy: -21.11 eV per cell

a b c (Å): 7.1193 7.1193 8.6647
angles (deg): 114.26 114.26 90.00
Each line ends with the local moment (μB).
Sites, in units of the cell vectors:
Sn  0.7500  0.2500  0.5000  0.26
I  0.9842  0.4842  0.9683  0.00
I  0.5158  0.0158  0.0317  0.00
I  0.7549  0.7549  0.5097  0.01
I  0.2451  0.2451  0.4903  0.01
Rb  0.5000  0.5000  0.0000  0.00
Tl  0.0000  0.0000  0.0000  0.00
Tl  0.2500  0.7500  0.5000  0.00



# 3
Computed, not measured: a relaxed Tb5CuBi3 crystal at the GGA-PBE level of DFT.

* N(E_F): 9.06 states/eV/f.u.
* crystal system: hexagonal
* DFT formation energy: -0.6535 eV/atom
* magnetization: 0.00 μB/f.u.
* calculated total energy: -89.54 eV per cell

a b c (Å): 9.3661 9.3661 6.4409
angles (deg): 90.00 90.00 120.00
Sites, in units of the cell vectors:
Tb  0.0000  0.2556  0.2500
Tb  0.2556  0.0000  0.2500
Tb  0.0000  0.7444  0.7500
Tb  0.6667  0.3333  0.5000
Tb  0.7444  0.7444  0.2500
Tb  0.6667  0.3333  0.0000
Tb  0.3333  0.6667  0.5000
Tb  0.7444  0.0000  0.7500
Tb  0.2556  0.2556  0.7500
Tb  0.3333  0.6667  0.0000
Bi  0.3861  0.0000  0.7500
Bi  0.6139  0.6139  0.7500
Bi  0.0000  0.6139  0.2500
Bi  0.6139  0.0000  0.2500
Bi  0.0000  0.3861  0.7500
Bi  0.3861  0.3861  0.2500
Cu  0.0000  0.0000  0.0000
Cu  0.0000  0.0000  0.5000



# 4
Computed, not measured: a relaxed Np2H10Rh3 crystal at the GGA-PBE level of DFT.

* N(E_F): 19.04 states/eV/f.u.
* crystal system: monoclinic
* magnetization: 8.06 μB/f.u.
* calculated total energy: -167.92 eV per cell

a b c (Å): 5.3716 6.9686 8.2761
angles (deg): 112.09 108.94 90.00
Each line ends with the local moment (μB).
Sites, in units of the cell vectors:
Rh  0.8147  0.9699  0.6294  -0.03
Rh  0.2499  0.0000  0.0000  -0.01
Rh  0.7501  0.0000  0.0000  -0.01
Rh  0.1853  0.0301  0.3706  -0.03
Rh  0.9145  0.5299  0.8290  -0.05
Rh  0.0855  0.4701  0.1710  -0.05
H  0.8643  0.2506  0.7287  -0.01
H  0.6245  0.9894  0.7748  -0.01
H  0.2431  0.3058  0.4862  -0.02
H  0.7953  0.5000  0.0000  -0.01
H  0.2047  0.5000  0.0000  -0.01
H  0.5000  0.0000  0.5000  -0.01
H  0.4112  0.5029  0.3211  -0.01
H  0.7569  0.6942  0.5138  -0.02
H  0.1357  0.7494  0.2713  -0.01
H  0.1503  0.9894  0.7748  -0.01
H  0.4689  0.8163  0.9378  -0.01
H  0.3755  0.0106  0.2252  -0.01
H  0.0000  0.0000  0.5000  -0.01
H  0.0901  0.4971  0.6789  -0.01
H  0.0290  0.1870  0.0581  0.00
H  0.5888  0.4971  0.6789  -0.01
H  0.8497  0.0106  0.2252  -0.01
H  0.5311  0.1837  0.0622  -0.01
H  0.9710  0.8130  0.9419  0.00
H  0.9099  0.5029  0.3211  -0.01
Np  0.6053  0.7178  0.2106  3.90
Np  0.7061  0.2998  0.4122  3.86
Np  0.3947  0.2822  0.7894  3.90
Np  0.2939  0.7002  0.5878  3.86



# 5
Computed, not measured: a relaxed Ce3Si3Au crystal at the GGA-PBE level of DFT.

* E_form (uncorrected): -4.66 eV/f.u.
* N(E_F): 15.43 states/eV/f.u.
* crystal system: orthorhombic
* magnetization: 3.02 μB/f.u.
* calculated total energy: -42.01 eV per cell

a b c (Å): 4.0851 4.2372 9.7114
angles (deg): 102.60 102.14 90.00
Each line ends with the local moment (μB).
Sites, in units of the cell vectors:
Si  0.8548  0.3548  0.7095  -0.03
Si  0.5679  0.5679  0.1359  0.00
Si  0.1402  0.6402  0.2804  -0.01
Au  0.4353  0.4353  0.8707  0.00
Ce  0.6856  0.1856  0.3711  0.81
Ce  0.0062  0.0062  0.0124  0.62
Ce  0.3100  0.8100  0.6200  0.78



# 6
Computed, not measured: a relaxed Li2AgMo crystal at the GGA-PBE level of DFT.

* N(E_F): 2.78 states/eV/f.u.
* crystal system: orthorhombic
* energy above the most stable polymorph in this dataset: 0.067 eV/atom
* DFT formation energy: 0.2422 eV/atom
* magnetization: 0.00 μB/f.u.
* calculated total energy: -16.54 eV per cell

a b c (Å): 2.6675 2.6675 9.5649
angles (deg): 90.00 90.00 103.89
Sites, in units of the cell vectors:
Li  0.0000  0.0000  0.9862
Li  0.5000  0.5000  0.2591
Ag  0.5000  0.5000  0.7547
Mo  0.0000  0.0000  0.5000